The following is a PBE-GGA calculation of a geometry-optimized NbCuIr structure, from Alexandria via LeMat-Bulk.

Summary:
uncorrected energy = -7.91 eV/atom
total magnetic moment = 0.0 μB per formula unit
formation energy from the elements = -0.23 eV/atom
calculated volume = 15.28 Å³ per atom
relative energy among the computed polymorphs = 0 meV/atom

Unit cell a=3.327 b=3.327 c=8.281 alpha=90.00 beta=90.00 gamma=90.00
Space group I4mm (No. 107)
Unique sites:
Nb 0.000 0.000 0.000
Cu 0.000 0.000 0.326
Ir 0.000 0.000 0.657

=====

The following is a PBE-GGA calculation of a geometry-optimized TbCe3Nd3Te8 structure, from Alexandria via LeMat-Bulk.

Summary:
uncorrected energy = -5.55 eV/atom
total magnetic moment = 3.8 μB per formula unit
calculated volume = 33.89 Å³ per atom
formation energy without anion corrections = -137.5 kJ/mol of atoms

Unit cell a=8.9531 b=8.9531 c=21.9703 alpha=90.00 beta=90.00 gamma=120.00
Space group R-3m (No. 166, hexagonal axes)
Unique sites:
Tb 0.0000 0.0000 0.0000
Ce 0.0000 0.5000 0.0000
Nd 0.0000 0.5000 0.5000
Te 0.0000 0.0000 0.2501
Te 0.9997 0.4998 0.2501

=====

The following is a PBE-GGA calculation of a geometry-optimized Sm3Tm4Te8 structure, from Alexandria via LeMat-Bulk.

Summary:
uncorrected energy = -5.15 eV/atom
total magnetic moment = 0.0 μB per formula unit
calculated volume = 31.19 Å³ per atom
formation energy without anion corrections = -129.2 kJ/mol of atoms

Unit cell a=12.314 b=12.324 c=8.706 alpha=90.00 beta=134.91 gamma=90.00
Space group C2/m (No. 12)
Unique sites:
Sm 0.000 0.000 0.000
Sm 0.250 0.250 0.000
Tm 0.000 0.500 0.000
Tm 0.000 0.500 0.500
Tm 0.250 0.250 0.500
Te 0.000 0.248 0.500
Te 0.000 0.254 0.000
Te 0.248 0.500 0.004
Te 0.249 0.500 0.492

=====

The following is a PBE-GGA calculation of a geometry-optimized Sc2Co2Mo structure, from Alexandria via LeMat-Bulk.

Summary:
uncorrected energy = -7.05 eV/atom
total magnetic moment = 0.9 μB per formula unit
formation energy from the elements = 0.49 eV/atom
calculated volume = 16.43 Å³ per atom
relative energy among the computed polymorphs = 629 meV/atom

Unit cell a=3.939 b=3.939 c=10.589 alpha=90.00 beta=90.00 gamma=90.00
Space group I4/mmm (No. 139)
Unique sites:
Sc 0.000 0.500 0.250
Co 0.000 0.000 0.098
Mo 0.000 0.000 0.500

=====

The following is a PBE-GGA calculation of a geometry-optimized MgCdInAg2 structure, from Alexandria via LeMat-Bulk.

Summary:
uncorrected energy = -1.70 eV/atom
total magnetic moment = 0.0 μB per formula unit
formation energy from the elements = 0.49 eV/atom
calculated volume = 27.71 Å³ per atom
relative energy among the computed polymorphs = 561 meV/atom

Unit cell a=5.061 b=5.061 c=5.409 alpha=90.00 beta=90.00 gamma=90.00
Space group P4/mmm (No. 123)
Unique sites:
Mg 0.000 0.000 0.000
Cd 0.500 0.500 0.500
In 0.000 0.000 0.500
Ag 0.000 0.500 0.000

=====

The following is a PBE-GGA calculation of a geometry-optimized NaTbHg2 structure, from Alexandria via LeMat-Bulk.

Summary:
uncorrected energy = -2.00 eV/atom
total magnetic moment = 0.0 μB per formula unit
formation energy from the elements = -0.36 eV/atom
calculated volume = 25.44 Å³ per atom

Unit cell a=5.347 b=5.347 c=3.558 alpha=90.00 beta=90.00 gamma=90.00
Space group P4/mmm (No. 123)
Unique sites:
Na 0.000 0.000 0.000
Tb 0.500 0.500 0.000
Hg 0.000 0.500 0.500

=====

The following is a PBE-GGA calculation of a geometry-optimized BiPb3Cl structure, from Alexandria via LeMat-Bulk.

Summary:
uncorrected energy = -3.56 eV/atom
total magnetic moment = 0.0 μB per formula unit
calculated volume = 33.44 Å³ per atom
formation energy without anion corrections = -18.2 kJ/mol of atoms
relative energy among the computed polymorphs = 0 meV/atom

Unit cell a=8.324 b=7.354 c=11.424 alpha=90.00 beta=107.00 gamma=90.00
Space group P2_1/c (No. 14)
Unique sites:
Bi 0.186 0.243 0.431
Pb 0.036 0.119 0.146
Pb 0.205 0.614 0.102
Pb 0.379 0.665 0.409
Cl 0.419 0.539 0.761

=====

The following is a PBE-GGA calculation of a geometry-optimized La4TbSe5 structure, from Alexandria via LeMat-Bulk.

Summary:
uncorrected energy = -6.12 eV/atom
total magnetic moment = 0.0 μB per formula unit
calculated volume = 27.60 Å³ per atom
formation energy without anion corrections = -187.2 kJ/mol of atoms
relative energy among the computed polymorphs = 9 meV/atom

Unit cell a=4.273 b=4.273 c=30.237 alpha=90.00 beta=90.00 gamma=90.00
Space group I4/mmm (No. 139)
Unique sites:
La 0.000 0.000 0.100
La 0.000 0.000 0.302
Tb 0.000 0.000 0.500
Se 0.000 0.000 0.000
Se 0.000 0.000 0.201
Se 0.000 0.000 0.404

=====

The following is a PBE-GGA calculation of a geometry-optimized BeCu2Ir structure, from Alexandria via LeMat-Bulk.

Summary:
uncorrected energy = -5.29 eV/atom
total magnetic moment = 0.0 μB per formula unit
formation energy from the elements = -0.09 eV/atom
calculated volume = 11.87 Å³ per atom

Unit cell a=2.716 b=3.574 c=5.074 alpha=90.00 beta=105.42 gamma=90.00
Space group Pm (No. 6)
Unique sites:
Be 0.000 0.000 0.000
Cu 0.148 0.500 0.301
Cu 0.760 0.000 0.526
Ir 0.419 0.500 0.839

=====

The following is a PBE-GGA calculation of a geometry-optimized Y2BeCo6Si structure, from Alexandria via LeMat-Bulk.

Summary:
uncorrected energy = -6.53 eV/atom
total magnetic moment = 2.0 μB per formula unit
calculated volume = 14.18 Å³ per atom
formation energy without anion corrections = -5.9 kJ/mol of atoms

Unit cell a=8.278 b=8.278 c=8.278 alpha=90.00 beta=90.00 gamma=90.00
Space group Fm-3m (No. 225)
Unique sites:
Y 0.250 0.250 0.250
Be 0.000 0.000 0.000
Co 0.000 0.000 0.240
Si 0.000 0.000 0.500

=====

The following is a PBE-GGA calculation of a geometry-optimized BaMgP2 structure, from Alexandria via LeMat-Bulk.

Summary:
uncorrected energy = -3.78 eV/atom
total magnetic moment = 0.6 μB per formula unit
formation energy from the elements = -0.20 eV/atom
calculated volume = 28.23 Å³ per atom

Unit cell a=3.281 b=4.288 c=8.024 alpha=90.00 beta=90.00 gamma=90.00
Space group Pmm2 (No. 25)
Unique sites:
Ba 0.000 0.000 0.000
Mg 0.500 0.500 0.492
P 0.000 0.000 0.401
P 0.500 0.500 0.808

=====

The following is a PBE-GGA calculation of a geometry-optimized CaInCu structure, from Alexandria via LeMat-Bulk.

Summary:
uncorrected energy = -3.12 eV/atom
total magnetic moment = 0.0 μB per formula unit
formation energy from the elements = -0.17 eV/atom
calculated volume = 22.69 Å³ per atom

Unit cell a=3.541 b=3.541 c=10.861 alpha=90.00 beta=90.00 gamma=90.00
Space group I4mm (No. 107)
Unique sites:
Ca 0.000 0.000 0.000
In 0.000 0.000 0.296
Cu 0.000 0.000 0.682